(1)
# HfV3O9

A geometry-optimized HfV3O9 structure (GGA+U, the Alexandria database).

Geometry as extended XYZ:
```
26
Lattice="6.678 0.000 2.810 2.975 7.397 2.270 -0.004 -0.010 9.349" Properties=species:S:1:pos:R:3 pbc="T T T"
O 7.088 2.162 4.657
O 5.121 0.344 9.710
O 6.824 5.135 4.489
O 4.479 6.776 4.411
O 6.654 0.094 12.065
O 5.581 3.073 9.041
O 2.921 1.584 4.695
O 3.886 1.431 7.419
O 2.411 3.826 3.047
O 1.567 3.797 5.758
O 7.370 3.586 11.408
O 5.624 6.047 6.860
O 2.764 5.277 9.813
O 4.323 4.047 5.208
O 6.557 5.855 9.618
O 1.324 0.123 6.756
O 8.214 7.289 7.597
O 3.030 2.343 9.935
Hf 1.549 3.692 10.467
Hf 3.304 -0.001 6.022
V 5.330 5.521 5.247
V 2.906 6.987 9.873
V 4.389 1.818 9.018
V 6.917 4.167 9.824
V 2.780 3.293 4.635
V 6.689 0.473 4.544
```

**Calculated total energy**: -8.171 eV/atom


(2)
# HfVO4

A geometry-optimized HfVO4 structure (GGA+U, the Alexandria database).

Geometry as extended XYZ:
```
12
Lattice="4.554 0.000 -2.038 -0.729 4.913 -1.629 -0.123 -0.046 5.832" Properties=species:S:1:pos:R:3 pbc="T T T"
Hf 0.489 3.685 -1.686
Hf 3.336 1.228 -1.982
O 2.222 4.807 -1.644
O 1.480 0.060 3.809
O -0.022 3.167 0.314
O 1.490 2.516 2.826
O 2.212 2.351 -0.662
O 3.088 4.157 1.157
O 0.614 0.711 1.007
O 3.724 1.700 1.850
V 1.851 2.434 1.082
V -0.061 -0.023 2.916
```

**Calculated total energy**: -8.853 eV/atom
**DOS(E_F)**: 0.0 states/eV/f.u.


(3)
# HfVO3

A geometry-optimized HfVO3 structure (GGA+U, the Alexandria database).

Geometry as extended XYZ:
```
5
Lattice="2.887 0.000 0.000 0.000 4.777 2.748 0.000 0.009 5.509" Properties=species:S:1:pos:R:3 pbc="T T T"
V 0.636 2.071 3.368
Hf 0.635 0.476 0.616
O 2.079 1.254 4.795
O 2.079 3.715 3.363
O 2.079 1.244 1.948
```

**Calculated total energy**: -8.947 eV/atom
**DOS(E_F)**: 1.7 states/eV/f.u.


(4)
# HfVO3

A geometry-optimized HfVO3 structure (GGA+U, the Alexandria database).

Geometry as extended XYZ:
```
5
Lattice="-2.641 -2.743 -0.406 2.763 -2.557 -0.695 0.227 -0.772 3.743" Properties=species:S:1:pos:R:3 pbc="T T T"
Hf 0.175 -3.036 1.321
O 1.382 -1.279 -0.348
O 0.114 -0.386 1.872
O -1.320 -1.371 -0.203
V 0.000 0.000 0.000
```

**Calculated total energy**: -8.099 eV/atom
**DOS(E_F)**: 2.6 states/eV/f.u.


(5)
# HfVO4

A geometry-optimized HfVO4 structure (GGA+U, the Alexandria database).

Geometry as extended XYZ:
```
12
Lattice="-2.523 4.679 -1.919 -3.624 -4.236 0.929 2.468 1.268 4.924" Properties=species:S:1:pos:R:3 pbc="T T T"
V -3.066 3.193 1.014
V -1.502 0.108 -0.242
Hf -4.598 0.332 -0.740
Hf -3.639 -1.263 2.434
O -2.315 -1.989 3.894
O -0.072 1.147 0.567
O -0.556 0.258 3.814
O -3.046 1.447 0.132
O -1.848 2.519 2.369
O -1.838 -0.763 1.476
O -1.404 3.659 0.121
O -0.106 4.810 2.418
```

**Calculated total energy**: -8.925 eV/atom


(6)
# HfVO3

A geometry-optimized HfVO3 structure (GGA+U, the Alexandria database).

Geometry as extended XYZ:
```
5
Lattice="4.073 0.000 0.000 0.000 4.073 0.000 0.000 0.000 4.073" Properties=species:S:1:pos:R:3 pbc="T T T"
O 2.037 0.000 0.000
O 0.000 0.000 2.037
O 0.000 2.037 0.000
V 2.037 2.037 2.037
Hf 0.000 0.000 0.000
```

**Calculated total energy**: -8.516 eV/atom
**DOS(E_F)**: 4.3 states/eV/f.u.


(7)
# HfV2O

A geometry-optimized HfV2O structure (GGA+U, the Alexandria database).

Geometry as extended XYZ:
```
8
Lattice="-2.935 -1.009 -5.151 5.231 -1.047 -2.776 0.864 -4.869 -3.049" Properties=species:S:1:pos:R:3 pbc="T T T"
V 2.287 -4.578 -5.672
V -0.528 -1.829 -3.562
V 1.879 -5.295 -8.810
V 2.682 -2.148 -3.907
O 1.148 -1.028 -3.963
O 3.621 -3.472 -4.894
Hf -0.462 -3.453 -6.082
Hf 0.000 0.000 0.000
```

**Calculated total energy**: -7.434 eV/atom
**DOS(E_F)**: 2.9 states/eV/f.u.


(8)
# HfV2O6

A geometry-optimized HfV2O6 structure (GGA+U, the Alexandria database).

Geometry as extended XYZ:
```
9
Lattice="-1.131 -2.347 2.186 4.998 1.641 1.703 -3.681 5.063 3.532" Properties=species:S:1:pos:R:3 pbc="T T T"
O 2.220 2.263 3.579
O -1.688 4.772 4.250
O -2.034 2.094 3.842
O 0.037 1.649 1.789
O 1.874 -0.414 3.171
O 0.149 2.709 5.632
V 1.652 1.149 2.089
V -1.466 3.209 5.332
Hf -1.840 2.532 1.766
```

**Calculated total energy**: -8.532 eV/atom
**DOS(E_F)**: 0.0 states/eV/f.u.


(9)
# Hf3VO

A geometry-optimized Hf3VO structure (GGA+U, the Alexandria database).

Geometry as extended XYZ:
```
5
Lattice="4.879 0.000 0.000 0.000 4.879 0.000 0.000 0.000 4.879" Properties=species:S:1:pos:R:3 pbc="T T T"
Hf 0.000 2.439 0.000
Hf 2.439 0.000 0.000
Hf 0.000 0.000 2.439
O 2.439 2.439 2.439
V 0.000 0.000 0.000
```

**DOS(E_F)**: 4.8 states/eV/f.u.
**Offset from the most stable computed form**: 206.9 kJ per mole of atoms


(10)
# Hf3VO

A geometry-optimized Hf3VO structure (GGA+U, the Alexandria database).

Geometry as extended XYZ:
```
5
Lattice="4.433 0.000 0.000 0.000 4.433 0.000 0.000 0.000 4.433" Properties=species:S:1:pos:R:3 pbc="T T T"
O 0.000 0.000 0.000
Hf 2.217 0.000 0.000
Hf 0.000 0.000 2.217
Hf 0.000 2.217 0.000
V 2.217 2.217 2.217
```

**DOS(E_F)**: 2.9 states/eV/f.u.
**Offset from the most stable computed form**: 0.0 kJ per mole of atoms


(11)
# Hf3WO

A geometry-optimized Hf3WO structure (GGA+U, the Alexandria database).

Geometry as extended XYZ:
```
5
Lattice="-2.559 2.624 3.536 -2.240 -4.297 1.568 3.791 -0.766 3.313" Properties=species:S:1:pos:R:3 pbc="T T T"
Hf 1.896 -0.383 1.657
Hf -1.280 1.312 1.768
Hf -1.120 -2.148 0.784
W 0.000 0.000 0.000
O -0.504 -1.219 4.209
```

**DOS(E_F)**: 4.3 states/eV/f.u.
**Offset from the most stable computed form**: 224.7 kJ per mole of atoms


(12)
# Hf3WO

A geometry-optimized Hf3WO structure (GGA+U, the Alexandria database).

Geometry as extended XYZ:
```
5
Lattice="-2.004 -3.596 -1.623 2.083 -2.510 2.990 -3.350 0.590 2.830" Properties=species:S:1:pos:R:3 pbc="T T T"
Hf -1.002 -1.798 -0.811
Hf 1.042 -1.255 1.495
Hf -1.675 0.295 1.415
W -1.636 -2.758 2.098
O 0.000 0.000 0.000
```

**DOS(E_F)**: 2.6 states/eV/f.u.
**Offset from the most stable computed form**: 0.0 kJ per mole of atoms


(13)
# HfWO2

A geometry-optimized HfWO2 structure (GGA+U, the Alexandria database).

Geometry as extended XYZ:
```
8
Lattice="-3.039 3.761 -0.799 -1.816 -0.506 4.524 1.009 4.771 3.593" Properties=species:S:1:pos:R:3 pbc="T T T"
Hf -2.427 1.628 1.863
Hf -1.617 2.946 4.990
O -1.782 3.366 0.989
O -3.436 6.442 5.817
O -1.355 1.461 3.602
O -1.119 4.784 4.229
W 0.000 0.000 0.000
W -2.229 5.080 2.328
```

**DOS(E_F)**: 0.0 states/eV/f.u.
**Offset from the most stable computed form**: 6.0 kJ per mole of atoms


(14)
# HfWO5

A geometry-optimized HfWO5 structure (GGA+U, the Alexandria database).

Geometry as extended XYZ:
```
7
Lattice="3.517 0.000 1.289 1.450 4.991 1.485 0.014 0.078 5.405" Properties=species:S:1:pos:R:3 pbc="T T T"
Hf 2.490 2.535 4.090
O 3.014 1.244 2.663
O 0.454 1.582 4.205
O 1.758 0.000 0.644
O 1.967 3.826 5.516
O 1.010 3.487 2.685
W 0.000 0.000 0.000
```

**Calculated total energy**: -8.505 eV/atom
**DOS(E_F)**: 0.0 states/eV/f.u.


(15)
# HfWO2

A geometry-optimized HfWO2 structure (GGA+U, the Alexandria database).

Geometry as extended XYZ:
```
4
Lattice="0.000 2.888 2.888 2.888 0.000 2.888 2.888 2.888 0.000" Properties=species:S:1:pos:R:3 pbc="T T T"
O 1.444 1.444 1.444
O 4.332 4.332 4.332
Hf 0.000 0.000 0.000
W 2.888 2.888 2.888
```

**DOS(E_F)**: 3.6 states/eV/f.u.
**Offset from the most stable computed form**: 89.3 kJ per mole of atoms


(16)
# HfWO4

A geometry-optimized HfWO4 structure (GGA+U, the Alexandria database).

Geometry as extended XYZ:
```
6
Lattice="-2.852 -1.184 1.035 2.112 -4.218 0.998 0.998 1.504 4.471" Properties=species:S:1:pos:R:3 pbc="T T T"
Hf 1.555 -1.357 2.734
O 0.348 -3.072 2.570
O -0.090 -0.826 3.933
O 0.610 -0.532 1.073
O 2.500 -2.181 4.396
W -1.426 -0.592 0.518
```

**Calculated total energy**: -8.911 eV/atom


(17)
# HfWO2

A geometry-optimized HfWO2 structure (GGA+U, the Alexandria database).

Geometry as extended XYZ:
```
4
Lattice="-1.627 7.012 0.395 0.612 6.811 2.281 1.135 7.094 -0.592" Properties=species:S:1:pos:R:3 pbc="T T T"
W 0.060 10.458 1.042
Hf 0.000 0.000 0.000
O 0.109 18.866 1.880
O 0.012 2.050 0.204
```

**DOS(E_F)**: 1.9 states/eV/f.u.
**Offset from the most stable computed form**: 42.0 kJ per mole of atoms


(18)
# HfWO2

A geometry-optimized HfWO2 structure (GGA+U, the Alexandria database).

Geometry as extended XYZ:
```
4
Lattice="1.744 0.000 6.658 -0.872 1.511 6.658 -0.872 -1.511 6.658" Properties=species:S:1:pos:R:3 pbc="T T T"
O 0.000 0.000 17.867
O 0.000 0.000 2.106
Hf 0.000 0.000 9.987
W 0.000 0.000 0.000
```

**DOS(E_F)**: 1.7 states/eV/f.u.
**Offset from the most stable computed form**: 0.0 kJ per mole of atoms


(19)
# HfW4O12

A geometry-optimized HfW4O12 structure (GGA+U, the Alexandria database).

Geometry as extended XYZ:
```
17
Lattice="6.215 -0.019 -2.405 -3.019 5.540 -2.144 -0.154 0.019 6.662" Properties=species:S:1:pos:R:3 pbc="T T T"
W 3.107 -0.010 -1.202
W 4.551 2.770 3.185
W 1.521 2.770 1.056
W 6.137 -0.010 0.926
O 1.602 4.951 -2.281
O 0.217 1.506 1.980
O -1.237 4.053 4.050
O -1.931 4.045 0.460
O 2.824 4.034 0.132
O 0.339 2.768 -0.482
O 1.439 0.589 4.393
O 4.972 1.495 1.653
O 4.278 1.487 -1.937
O 2.702 2.772 2.595
O 2.819 1.495 0.140
O 0.223 4.045 1.973
Hf -1.587 2.780 2.259
```

**Calculated total energy**: -7.979 eV/atom